--- A ---
# PBE-GGA SrTe2IN, relaxed
# Total magnetization in μB per formula unit: 6.01
data_SrTe2IN
_space_group_name_H-M_alt 'P 4/m m m'
_space_group_IT_number 123
_space_group_name_Hall '-P 4 2'
_cell_length_a 6.582
_cell_length_b 6.582
_cell_length_c 6.423
_cell_angle_alpha 90.00
_cell_angle_beta 90.00
_cell_angle_gamma 90.00
loop_
_atom_site_label
_atom_site_type_symbol
_atom_site_fract_x
_atom_site_fract_y
_atom_site_fract_z
Sr1 Sr 0.000 0.000 0.000
Te1 Te 0.000 0.500 0.000
I1 I 0.000 0.000 0.500
N1 N 0.500 0.500 0.500

--- B ---
# PBE-GGA SrTe2IN, relaxed
# Total magnetization in μB per formula unit: 5.04
data_SrTe2IN
_space_group_name_H-M_alt 'P 4/m m m'
_space_group_IT_number 123
_space_group_name_Hall '-P 4 2'
_cell_length_a 6.497
_cell_length_b 6.497
_cell_length_c 4.920
_cell_angle_alpha 90.00
_cell_angle_beta 90.00
_cell_angle_gamma 90.00
loop_
_atom_site_label
_atom_site_type_symbol
_atom_site_fract_x
_atom_site_fract_y
_atom_site_fract_z
Sr1 Sr 0.000 0.000 0.000
Te1 Te 0.000 0.500 0.000
I1 I 0.500 0.500 0.500
N1 N 0.000 0.000 0.500

Stability summary: most stable B, least stable A.

--- A ---
# PBE-GGA SrTe2IN, relaxed
# Total magnetization in μB per formula unit: 0.00
data_SrTe2IN
_space_group_name_H-M_alt 'P 4/m m m'
_space_group_IT_number 123
_space_group_name_Hall '-P 4 2'
_cell_length_a 4.861
_cell_length_b 4.861
_cell_length_c 5.474
_cell_angle_alpha 90.00
_cell_angle_beta 90.00
_cell_angle_gamma 90.00
loop_
_atom_site_label
_atom_site_type_symbol
_atom_site_fract_x
_atom_site_fract_y
_atom_site_fract_z
Sr1 Sr 0.000 0.000 0.000
Te1 Te 0.000 0.500 0.500
I1 I 0.500 0.500 0.000
N1 N 0.500 0.500 0.500

--- B ---
# PBE-GGA SrTe2IN, relaxed
# Total magnetization in μB per formula unit: 0.00
data_SrTe2IN
_space_group_name_H-M_alt 'P 4/m m m'
_space_group_IT_number 123
_space_group_name_Hall '-P 4 2'
_cell_length_a 6.095
_cell_length_b 6.095
_cell_length_c 4.066
_cell_angle_alpha 90.00
_cell_angle_beta 90.00
_cell_angle_gamma 90.00
loop_
_atom_site_label
_atom_site_type_symbol
_atom_site_fract_x
_atom_site_fract_y
_atom_site_fract_z
Sr1 Sr 0.000 0.000 0.000
Te1 Te 0.000 0.500 0.500
I1 I 0.500 0.500 0.500
N1 N 0.500 0.500 0.000

Stability summary: most stable A, least stable B.

--- A ---
# PBE-GGA SrTeIN2, relaxed
# Total magnetization in μB per formula unit: 4.61
data_SrTeIN2
_space_group_name_H-M_alt 'P 4/m m m'
_space_group_IT_number 123
_space_group_name_Hall '-P 4 2'
_cell_length_a 4.906
_cell_length_b 4.906
_cell_length_c 6.921
_cell_angle_alpha 90.00
_cell_angle_beta 90.00
_cell_angle_gamma 90.00
loop_
_atom_site_label
_atom_site_type_symbol
_atom_site_fract_x
_atom_site_fract_y
_atom_site_fract_z
Sr1 Sr 0.000 0.000 0.000
Te1 Te 0.000 0.000 0.500
I1 I 0.500 0.500 0.500
N1 N 0.000 0.500 0.000

--- B ---
# PBE-GGA SrTeIN2, relaxed
# Total magnetization in μB per formula unit: 1.05
data_SrTeIN2
_space_group_name_H-M_alt 'P 4/m m m'
_space_group_IT_number 123
_space_group_name_Hall '-P 4 2'
_cell_length_a 4.418
_cell_length_b 4.418
_cell_length_c 6.022
_cell_angle_alpha 90.00
_cell_angle_beta 90.00
_cell_angle_gamma 90.00
loop_
_atom_site_label
_atom_site_type_symbol
_atom_site_fract_x
_atom_site_fract_y
_atom_site_fract_z
Sr1 Sr 0.000 0.000 0.000
Te1 Te 0.500 0.500 0.000
I1 I 0.500 0.500 0.500
N1 N 0.000 0.500 0.500

--- C ---
# PBE-GGA SrTeIN2, relaxed
# Total magnetization in μB per formula unit: 0.57
data_SrTeIN2
_space_group_name_H-M_alt 'P 4/m m m'
_space_group_IT_number 123
_space_group_name_Hall '-P 4 2'
_cell_length_a 4.370
_cell_length_b 4.370
_cell_length_c 6.232
_cell_angle_alpha 90.00
_cell_angle_beta 90.00
_cell_angle_gamma 90.00
loop_
_atom_site_label
_atom_site_type_symbol
_atom_site_fract_x
_atom_site_fract_y
_atom_site_fract_z
Sr1 Sr 0.000 0.000 0.000
Te1 Te 0.500 0.500 0.500
I1 I 0.500 0.500 0.000
N1 N 0.000 0.500 0.500

Stability summary: most stable C, least stable A.

--- A ---
# PBE-GGA SrTiI2N, relaxed
# Total magnetization in μB per formula unit: 1.57
data_SrTiI2N
_space_group_name_H-M_alt 'P 4/m m m'
_space_group_IT_number 123
_space_group_name_Hall '-P 4 2'
_cell_length_a 6.320
_cell_length_b 6.320
_cell_length_c 4.677
_cell_angle_alpha 90.00
_cell_angle_beta 90.00
_cell_angle_gamma 90.00
loop_
_atom_site_label
_atom_site_type_symbol
_atom_site_fract_x
_atom_site_fract_y
_atom_site_fract_z
Sr1 Sr 0.000 0.000 0.000
Ti1 Ti 0.500 0.500 0.500
I1 I 0.000 0.500 0.000
N1 N 0.000 0.000 0.500

--- B ---
# PBE-GGA SrTiI2N, relaxed
# Total magnetization in μB per formula unit: 0.70
data_SrTiI2N
_space_group_name_H-M_alt 'P 4/m m m'
_space_group_IT_number 123
_space_group_name_Hall '-P 4 2'
_cell_length_a 5.834
_cell_length_b 5.834
_cell_length_c 3.898
_cell_angle_alpha 90.00
_cell_angle_beta 90.00
_cell_angle_gamma 90.00
loop_
_atom_site_label
_atom_site_type_symbol
_atom_site_fract_x
_atom_site_fract_y
_atom_site_fract_z
Sr1 Sr 0.000 0.000 0.000
Ti1 Ti 0.500 0.500 0.500
I1 I 0.000 0.500 0.500
N1 N 0.500 0.500 0.000

Stability summary: most stable B, least stable A.

--- A ---
# PBE-GGA SrTiIN2, relaxed
# Total magnetization in μB per formula unit: 0.36
data_SrTiIN2
_space_group_name_H-M_alt 'P 4/m m m'
_space_group_IT_number 123
_space_group_name_Hall '-P 4 2'
_cell_length_a 4.453
_cell_length_b 4.453
_cell_length_c 6.075
_cell_angle_alpha 90.00
_cell_angle_beta 90.00
_cell_angle_gamma 90.00
loop_
_atom_site_label
_atom_site_type_symbol
_atom_site_fract_x
_atom_site_fract_y
_atom_site_fract_z
Sr1 Sr 0.000 0.000 0.000
Ti1 Ti 0.500 0.500 0.500
I1 I 0.000 0.000 0.500
N1 N 0.000 0.500 0.000

--- B ---
# PBE-GGA SrTiIN2, relaxed
# Total magnetization in μB per formula unit: 0.81
data_SrTiIN2
_space_group_name_H-M_alt 'P 4/m m m'
_space_group_IT_number 123
_space_group_name_Hall '-P 4 2'
_cell_length_a 4.220
_cell_length_b 4.220
_cell_length_c 5.471
_cell_angle_alpha 90.00
_cell_angle_beta 90.00
_cell_angle_gamma 90.00
loop_
_atom_site_label
_atom_site_type_symbol
_atom_site_fract_x
_atom_site_fract_y
_atom_site_fract_z
Sr1 Sr 0.000 0.000 0.000
Ti1 Ti 0.500 0.500 0.500
I1 I 0.500 0.500 0.000
N1 N 0.000 0.500 0.500

Stability summary: most stable B, least stable A.

--- A ---
# PBE-GGA SrWI2N, relaxed
# Total magnetization in μB per formula unit: 0.23
data_SrWI2N
_space_group_name_H-M_alt 'P 4/m m m'
_space_group_IT_number 123
_space_group_name_Hall '-P 4 2'
_cell_length_a 5.783
_cell_length_b 5.783
_cell_length_c 3.919
_cell_angle_alpha 90.00
_cell_angle_beta 90.00
_cell_angle_gamma 90.00
loop_
_atom_site_label
_atom_site_type_symbol
_atom_site_fract_x
_atom_site_fract_y
_atom_site_fract_z
Sr1 Sr 0.000 0.000 0.000
W1 W 0.500 0.500 0.500
I1 I 0.000 0.500 0.500
N1 N 0.500 0.500 0.000

--- B ---
# PBE-GGA SrWI2N, relaxed
# Total magnetization in μB per formula unit: 3.00
data_SrWI2N
_space_group_name_H-M_alt 'P 4/m m m'
_space_group_IT_number 123
_space_group_name_Hall '-P 4 2'
_cell_length_a 6.356
_cell_length_b 6.356
_cell_length_c 4.943
_cell_angle_alpha 90.00
_cell_angle_beta 90.00
_cell_angle_gamma 90.00
loop_
_atom_site_label
_atom_site_type_symbol
_atom_site_fract_x
_atom_site_fract_y
_atom_site_fract_z
Sr1 Sr 0.000 0.000 0.000
W1 W 0.500 0.500 0.500
I1 I 0.000 0.500 0.000
N1 N 0.000 0.000 0.500

Stability summary: most stable A, least stable B.